{"formula": "AcMnTc2O8", "functional": "PBE with a Hubbard U", "state": "optimized geometry", "magmom_total_mub_per_atom": 0.67, "dft_energy_ev_per_atom": -7.711, "sg": "P-3m1 (164)", "lattice": [[6.0241, 0.0000, 0.0000], [-3.0120, 5.2170, 0.0000], [0.0000, 0.0000, 6.6412]], "species": ["Ac", "Mn", "Tc", "Tc", "O", "O", "O", "O", "O", "O", "O", "O"], "frac_coords": [[0.0000, 0.0000, 0.5000], [0.0000, 0.0000, 0.0000], [0.6667, 0.3333, 0.1404], [0.3333, 0.6667, 0.8596], [0.3333, 0.6667, 0.1212], [0.3281, 0.1641, 0.2262], [0.8359, 0.1641, 0.2262], [0.6667, 0.3333, 0.8788], [0.1641, 0.8359, 0.7738], [0.6719, 0.8359, 0.7738], [0.1641, 0.3281, 0.7738], [0.8359, 0.6719, 0.2262]]}